Entry w
NbAu2Br | PBE | optimized geometry

Cell: 8.279 8.279 6.421 Å, 49.86 49.86 90.00°
Each line ends with the local moment (μB).
Atoms (fractional coordinates):
Nb: 0.750 0.250 0.500  1.33
Nb: 0.000 0.000 0.000  1.33
Br: 0.500 0.500 0.000  0.01
Br: 0.250 0.750 0.500  0.01
Au: 0.667 0.125 0.250  0.06
Au: 0.083 0.625 0.250  0.06
Au: 0.375 0.333 0.750  0.06
Au: 0.875 0.917 0.750  0.06

Calculated values
Total magnetization = 1.75 μB/f.u.


Entry x
NbAu2Br | PBE | optimized geometry

Cell: 4.860 4.860 4.860 Å, 60.00 60.00 60.00°
Each line ends with the local moment (μB).
Atoms (fractional coordinates):
Au: 0.250 0.250 0.250  0.01
Au: 0.750 0.750 0.750  0.01
Br: 0.000 0.000 0.000  -0.02
Nb: 0.500 0.500 0.500  1.48

Calculated values
Total magnetization = 1.77 μB/f.u.


Which structure is most stable? entry w, by 0.265 eV/atom over the runner-up.


Entry w
NbAu3Br | PBE | optimized geometry

Cell: 5.046 5.046 5.046 Å, 90.00 90.00 90.00°
Each line ends with the local moment (μB).
Atoms (fractional coordinates):
Au: 0.500 0.000 0.000  0.05
Au: 0.000 0.000 0.500  -0.05
Au: 0.000 0.500 0.000  0.01
Nb: 0.500 0.500 0.500  2.58
Br: 0.000 0.000 0.000  0.06

Calculated values
Total magnetization = 3.46 μB/f.u.


Entry x
NbAu3Br | PBE | optimized geometry

Cell: 5.196 5.196 5.196 Å, 90.00 90.00 90.00°
Atoms (fractional coordinates):
Au: 0.500 0.000 0.000
Au: 0.000 0.000 0.500
Au: 0.000 0.500 0.000
Br: 0.500 0.500 0.500
Nb: 0.000 0.000 0.000

Calculated values
Total magnetization = 0.00 μB/f.u.


Which structure is most stable? entry x, by 0.472 eV/atom over the runner-up.


Entry w
NbAuSeBr2 | PBE | optimized geometry

Cell: 5.180 5.180 5.017 Å, 90.00 90.00 90.00°
Atoms (fractional coordinates):
Se: 0.000 0.000 0.500
Au: 0.500 0.500 0.500
Nb: 0.000 0.000 0.000
Br: 0.000 0.500 0.000
Br: 0.500 0.000 0.000

Calculated values
Total magnetization = 0.00 μB/f.u.


Entry x
NbAuSeBr2 | PBE | optimized geometry

Cell: 5.131 5.131 5.294 Å, 90.00 90.00 90.00°
Each line ends with the local moment (μB).
Atoms (fractional coordinates):
Au: 0.000 0.000 0.000  0.00
Nb: 0.500 0.500 0.500  2.74
Br: 0.500 0.000 0.000  -0.02
Br: 0.000 0.500 0.000  -0.02
Se: 0.000 0.000 0.500  -0.16

Calculated values
Total magnetization = 3.12 μB/f.u.


Which structure is most stable? entry w, by 0.705 eV/atom over the runner-up.


Entry w
NbAuSe2Br | PBE | optimized geometry

Cell: 5.027 5.027 5.205 Å, 90.00 90.00 90.00°
Atoms (fractional coordinates):
Au: 0.500 0.500 0.500
Br: 0.000 0.000 0.500
Se: 0.500 0.000 0.000
Se: 0.000 0.500 0.000
Nb: 0.000 0.000 0.000

Calculated values
Total magnetization = 0.00 μB/f.u.


Entry x
NbAuSe2Br | PBE | optimized geometry

Cell: 5.124 5.124 5.037 Å, 90.00 90.00 90.00°
Each line ends with the local moment (μB).
Atoms (fractional coordinates):
Br: 0.000 0.000 0.500  -0.04
Nb: 0.500 0.500 0.500  2.52
Au: 0.000 0.000 0.000  -0.03
Se: 0.000 0.500 0.000  -0.23
Se: 0.500 0.000 0.000  -0.23

Calculated values
Total magnetization = 2.37 μB/f.u.


Which structure is most stable? entry w, by 0.726 eV/atom over the runner-up.


Entry w
NiAuBr3 | PBE | optimized geometry

Cell: 5.302 5.302 5.302 Å, 90.00 90.00 90.00°
Each line ends with the local moment (μB).
Atoms (fractional coordinates):
Br: 0.500 0.000 0.000  0.01
Br: 0.000 0.500 0.000  0.02
Br: 0.000 0.000 0.500  0.01
Ni: 0.500 0.500 0.500  0.96
Au: 0.000 0.000 0.000  0.01

Calculated values
Total magnetization = 1.07 μB/f.u.


Entry x
NiAuBr3 | PBE | optimized geometry

Cell: 4.927 4.927 4.927 Å, 90.00 90.00 90.00°
Atoms (fractional coordinates):
Br: 0.000 0.000 0.500
Br: 0.500 0.000 0.000
Br: 0.000 0.500 0.000
Au: 0.500 0.500 0.500
Ni: 0.000 0.000 0.000

Calculated values
Total magnetization = 0.00 μB/f.u.


Which structure is most stable? entry x, by 0.364 eV/atom over the runner-up.


Entry w
Ni3AuBr | PBE | optimized geometry

Cell: 4.345 4.345 4.345 Å, 90.00 90.00 90.00°
Atoms (fractional coordinates):
Br: 0.000 0.000 0.000
Au: 0.500 0.500 0.500
Ni: 0.000 0.000 0.500
Ni: 0.500 0.000 0.000
Ni: 0.000 0.500 0.000

Calculated values
Total magnetization = 0.00 μB/f.u.


Entry x
Ni3AuBr | PBE | optimized geometry

Cell: 4.772 4.772 4.772 Å, 90.00 90.00 90.00°
Each line ends with the local moment (μB).
Atoms (fractional coordinates):
Ni: 0.500 0.000 0.000  0.37
Ni: 0.000 0.000 0.500  0.92
Ni: 0.000 0.500 0.000  0.87
Au: 0.000 0.000 0.000  0.01
Br: 0.500 0.500 0.500  0.09

Calculated values
Total magnetization = 2.26 μB/f.u.


Which structure is most stable? entry w, by 0.405 eV/atom over the runner-up.


Entry w
AuBr3O | PBE | optimized geometry

Cell: 4.776 4.776 4.776 Å, 90.00 90.00 90.00°
Atoms (fractional coordinates):
Br: 0.000 0.500 0.000
Br: 0.000 0.000 0.500
Br: 0.500 0.000 0.000
O: 0.000 0.000 0.000
Au: 0.500 0.500 0.500

Calculated values
Total magnetization = 0.00 μB/f.u.


Entry x
AuBr3O | PBE | optimized geometry

Cell: 5.220 5.220 5.220 Å, 90.00 90.00 90.00°
Atoms (fractional coordinates):
O: 0.500 0.500 0.500
Br: 0.500 0.000 0.000
Br: 0.000 0.000 0.500
Br: 0.000 0.500 0.000
Au: 0.000 0.000 0.000

Calculated values
Total magnetization = 0.00 μB/f.u.


Which structure is most stable? entry w, by 0.197 eV/atom over the runner-up.


Entry w
PAuBrO2 | PBE | optimized geometry

Cell: 3.759 3.759 5.563 Å, 90.00 90.00 90.00°
Atoms (fractional coordinates):
O: 0.000 0.500 0.000
O: 0.500 0.000 0.000
Br: 0.000 0.000 0.000
P: 0.000 0.000 0.500
Au: 0.500 0.500 0.500

Calculated values
Total magnetization = 0.00 μB/f.u.


Entry x
PAuBrO2 | PBE | optimized geometry

Cell: 3.971 3.971 5.424 Å, 90.00 90.00 90.00°
Each line ends with the local moment (μB).
Atoms (fractional coordinates):
Au: 0.000 0.000 0.000  0.16
O: 0.500 0.000 0.000  0.32
O: 0.000 0.500 0.000  0.32
P: 0.000 0.000 0.500  0.03
Br: 0.500 0.500 0.500  0.01

Calculated values
Total magnetization = 1.01 μB/f.u.


Which structure is most stable? entry x, by 0.070 eV/atom over the runner-up.


Entry w
Rb2AuBrO | PBE | optimized geometry

Cell: 5.994 5.994 4.063 Å, 90.00 90.00 90.00°
Atoms (fractional coordinates):
Br: 0.500 0.500 0.500
O: 0.000 0.000 0.000
Rb: 0.000 0.500 0.000
Rb: 0.500 0.000 0.000
Au: 0.000 0.000 0.500

Calculated values
Total magnetization = 0.00 μB/f.u.


Entry x
Rb2AuBrO | PBE | optimized geometry

Cell: 6.484 4.246 6.484 Å, 90.00 90.00 90.00°
Each line ends with the local moment (μB).
Atoms (fractional coordinates):
Rb: 0.500 0.000 0.000  0.00
Rb: 0.000 0.000 0.500  0.00
Au: 0.500 0.500 0.500  0.00
O: 0.000 0.500 0.000  -0.14
Br: 0.000 0.000 0.000  -0.03

Calculated values
Total magnetization = 0.20 μB/f.u.


Which structure is most stable? entry w, by 0.670 eV/atom over the runner-up.


Entry w
Os2AuBr | PBE | optimized geometry

Cell: 4.217 4.217 9.309 Å, 76.91 76.91 90.00°
Atoms (fractional coordinates):
Os: 0.875 0.779 0.750
Os: 0.221 0.625 0.250
Os: 0.375 0.471 0.750
Os: 0.529 0.125 0.250
Br: 0.250 0.750 0.500
Br: 0.500 0.500 0.000
Au: 0.750 0.250 0.500
Au: 0.000 0.000 0.000

Calculated values
Total magnetization = 0.00 μB/f.u.


Entry x
Os2AuBr | PBE | optimized geometry

Cell: 2.800 5.001 4.833 Å, 90.00 90.00 90.00°
Atoms (fractional coordinates):
Os: 0.500 0.500 0.000
Os: 0.000 0.000 0.000
Br: 0.000 0.500 0.500
Au: 0.500 0.000 0.500

Calculated values
Total magnetization = 0.02 μB/f.u.


Which structure is most stable? entry x, by 0.098 eV/atom over the runner-up.


Entry w
VOsAu2Br | PBE | optimized geometry

Cell: 4.994 4.555 4.994 Å, 90.00 90.00 90.00°
Each line ends with the local moment (μB).
Atoms (fractional coordinates):
V: 0.500 0.500 0.500  2.90
Au: 0.000 0.000 0.500  0.00
Au: 0.500 0.000 0.000  0.04
Os: 0.000 0.500 0.000  -0.44
Br: 0.000 0.000 0.000  0.03

Calculated values
Total magnetization = 3.24 μB/f.u.


Entry x
VOsAu2Br | PBE | optimized geometry

Cell: 5.052 4.560 5.052 Å, 90.00 90.00 90.00°
Each line ends with the local moment (μB).
Atoms (fractional coordinates):
Au: 0.000 0.000 0.500  0.10
Au: 0.500 0.000 0.000  0.09
V: 0.000 0.000 0.000  1.87
Os: 0.500 0.500 0.500  2.84
Br: 0.000 0.500 0.000  0.00

Calculated values
Total magnetization = 5.46 μB/f.u.


Which structure is most stable? entry x, by 0.284 eV/atom over the runner-up.


Entry w
PAuBr | PBE | optimized geometry

Cell: 4.602 4.602 4.602 Å, 60.00 60.00 60.00°
Atoms (fractional coordinates):
Br: 0.500 0.500 0.500
Au: 0.000 0.000 0.000
P: 0.250 0.250 0.250

Calculated values
Total magnetization = 0.00 μB/f.u.


Entry x
PAuBr | PBE | optimized geometry

Cell: 3.765 3.765 5.298 Å, 90.00 90.00 120.00°
Atoms (fractional coordinates):
Au: 0.000 0.000 0.951
Br: 0.667 0.333 0.322
P: 0.333 0.667 0.727

Calculated values
Total magnetization = 0.00 μB/f.u.


Which structure is most stable? entry x, by 0.528 eV/atom over the runner-up.